Record 1
Entry from Alexandria: crystalline CaDyCuIr at its relaxed geometry (PBE-GGA).

extended XYZ file:
```
4
Lattice="3.952 0.000 0.000 0.000 4.103 0.000 -1.976 0.000 5.457" Properties=species:S:1:pos:R:3 pbc="T T T"
Ca 1.976 2.051 3.871
Cu 0.000 0.000 4.717
Dy 0.000 0.000 1.502
Ir 1.976 2.051 0.825
```

Calculated total energy: -21.344 eV for the cell shown
D(E_F): 2.1 states/eV/cell
Energy of formation from the pure elements: -446 meV per atom


Record 2
Entry from Alexandria: crystalline Nd10HoTm6 at its relaxed geometry (PBE-GGA).

extended XYZ file:
```
17
Lattice="-2.393 -1.684 6.230 1.631 -9.475 -1.935 7.021 5.433 4.166" Properties=species:S:1:pos:R:3 pbc="T T T"
Nd -0.020 0.122 6.247
Nd 1.953 -1.422 1.749
Nd 4.306 -4.304 6.712
Nd 4.028 -0.378 5.247
Nd 0.746 -7.166 -0.268
Nd 3.428 -4.505 0.099
Nd 2.231 -5.347 3.214
Nd -1.508 -3.993 4.563
Nd 5.225 0.464 2.132
Nd 4.648 3.627 4.149
Tm -0.155 -4.010 1.253
Tm -0.607 -7.149 3.042
Tm 2.804 2.285 6.903
Tm 4.721 -3.088 3.375
Tm 1.538 -2.637 5.086
Tm 1.824 1.464 3.493
Ho -1.196 -0.842 3.115
```

Calculated total energy: -76.906 eV for the cell shown
D(E_F): 25.2 states/eV/cell
Energy of formation from the pure elements: 128 meV per atom


Record 3
Entry from Alexandria: crystalline Ce5Zn3Ag3 at its relaxed geometry (PBE-GGA).

extended XYZ file:
```
11
Lattice="-1.028 -0.444 2.754 -5.381 -7.515 -3.220 9.136 -1.524 3.163" Properties=species:S:1:pos:R:3 pbc="T T T"
Zn 7.274 -1.521 4.073
Zn -5.101 -6.628 -1.368
Zn 0.040 -1.556 1.369
Ce -1.056 -5.740 0.285
Ce 3.783 -3.743 2.412
Ce 2.734 -0.764 2.502
Ce -2.427 -2.894 0.232
Ce 1.906 -6.047 1.340
Ag -3.416 -4.770 -2.044
Ag 5.800 -0.967 2.008
Ag 1.371 -3.301 -0.021
```

Calculated total energy: -40.848 eV for the cell shown
D(E_F): 25.5 states/eV/cell
Energy of formation from the pure elements: 109 meV per atom


Record 4
Entry from Alexandria: crystalline Nd6Pd2N at its relaxed geometry (PBE-GGA).

extended XYZ file:
```
18
Lattice="-0.341 2.464 -6.170 0.421 -6.763 -2.725 -10.052 -0.682 0.139" Properties=species:S:1:pos:R:3 pbc="T T T"
N 0.040 -2.150 -4.447
N -5.026 -0.341 0.070
Pd -2.323 -4.887 -5.842
Pd -7.649 -0.095 -2.913
Pd -7.304 -4.436 -1.873
Pd -2.667 -0.545 -6.882
Nd -0.730 0.305 -4.655
Nd -0.578 -2.587 -6.840
Nd -7.302 -4.895 -7.941
Nd -7.682 -2.151 -5.020
Nd -4.603 0.224 -4.649
Nd -2.289 -2.830 -3.735
Nd -4.433 -2.947 -6.946
Nd -9.394 -2.395 -1.916
Nd -5.368 -5.205 -4.106
Nd -5.538 -2.035 -1.810
Nd -9.241 -5.286 -4.100
Nd -2.670 -0.087 -0.814
```

E_form (uncorrected): -0.651 eV/atom
Calculated total energy: -106.350 eV for the cell shown
D(E_F): 17.5 states/eV/cell